LaSc2Hg, optimized geometry, DFT GGA-PBE; crystal system = tetragonal; V = 25.978 Å³ per atom; DFT total energy = -0.332 Ry/atom
1.0
-2.338 2.338 4.752
2.338 -2.338 4.752
2.338 2.338 -4.752
La Sc Hg
1 2 1
Cartesian
0.000 0.000 0.000
2.338 0.000 2.376
0.000 2.338 2.376
0.000 0.000 4.752

FeIrRh2I, optimized geometry, DFT GGA-PBE; crystal system = tetragonal; V = 19.244 Å³ per atom; formation energy (no corrections) = 1.24 eV per atom; DFT total energy = -0.403 Ry/atom
1.0
4.601 0.000 0.000
0.000 4.601 0.000
0.000 0.000 4.546
Fe Ir Rh I
1 1 2 1
Cartesian
0.000 0.000 0.000
0.000 0.000 2.273
0.000 2.300 0.000
2.300 0.000 0.000
2.300 2.300 2.273

Pa3Tl2Se8, optimized geometry, DFT GGA-PBE; crystal system = monoclinic; V = 33.890 Å³ per atom; formation energy (no corrections) = -1.13 eV per atom; DFT total energy = -0.429 Ry/atom
1.0
9.566 0.000 0.000
0.000 4.286 0.000
-4.658 0.000 10.747
Pa Tl Se
3 2 8
Cartesian
0.000 0.000 0.000
0.923 2.143 3.716
3.985 2.143 7.031
-0.824 0.000 7.542
5.732 0.000 3.205
-3.516 2.143 9.273
-0.751 0.000 4.414
1.958 0.000 1.967
1.219 2.143 6.538
3.689 2.143 4.209
2.950 0.000 8.780
5.659 0.000 6.333
8.424 2.143 1.475

> Which formula does entry 3 have?

Pa3Tl2Se8

Repeat the third record exactly.
Pa3Tl2Se8, optimized geometry, DFT GGA-PBE; crystal system = monoclinic; V = 33.890 Å³ per atom; formation energy (no corrections) = -1.13 eV per atom; DFT total energy = -0.429 Ry/atom
1.0
9.566 0.000 0.000
0.000 4.286 0.000
-4.658 0.000 10.747
Pa Tl Se
3 2 8
Cartesian
0.000 0.000 0.000
0.923 2.143 3.716
3.985 2.143 7.031
-0.824 0.000 7.542
5.732 0.000 3.205
-3.516 2.143 9.273
-0.751 0.000 4.414
1.958 0.000 1.967
1.219 2.143 6.538
3.689 2.143 4.209
2.950 0.000 8.780
5.659 0.000 6.333
8.424 2.143 1.475

Repeat the third record exactly.
Pa3Tl2Se8, optimized geometry, DFT GGA-PBE; crystal system = monoclinic; V = 33.890 Å³ per atom; formation energy (no corrections) = -1.13 eV per atom; DFT total energy = -0.429 Ry/atom
1.0
9.566 0.000 0.000
0.000 4.286 0.000
-4.658 0.000 10.747
Pa Tl Se
3 2 8
Cartesian
0.000 0.000 0.000
0.923 2.143 3.716
3.985 2.143 7.031
-0.824 0.000 7.542
5.732 0.000 3.205
-3.516 2.143 9.273
-0.751 0.000 4.414
1.958 0.000 1.967
1.219 2.143 6.538
3.689 2.143 4.209
2.950 0.000 8.780
5.659 0.000 6.333
8.424 2.143 1.475